(1)
Here is CaMo2Rh after structural relaxation from the Alexandria database. Energies are from PBEsol.

a = 3.1759 Å, b = 3.1759 Å, c = 6.9422 Å
α = 90.00°, β = 90.00°, γ = 90.00°
Space group P4mm (No. 99)
Symmetry-distinct sites (fractional):
1 Ca 0.0000 0.0000 0.0000 [1 per cell]
2 Mo 0.0000 0.0000 0.5006 [1 per cell]
3 Mo 0.5000 0.5000 0.3168 [1 per cell]
4 Rh 0.5000 0.5000 0.7294 [1 per cell]

Values from the calculation:
The calculation puts the calculated volume at 17.51 A^3/atom. The energy above the most stable polymorph in this dataset comes out at 0.000 eV per atom. As for the formation energy: 1.0 eV per formula unit. For the density, the calculation gives 7.94 g cm⁻³.

(2)
Here is CaSc2Cu after structural relaxation from the Alexandria database. Energies are from PBEsol.

a = 3.3038 Å, b = 3.3038 Å, c = 8.4405 Å
α = 90.00°, β = 90.00°, γ = 90.00°
Space group P4mm (No. 99)
Symmetry-distinct sites (fractional):
1 Ca 0.0000 0.0000 0.0000 [1 per cell]
2 Sc 0.0000 0.0000 0.5990 [1 per cell]
3 Sc 0.5000 0.5000 0.3394 [1 per cell]
4 Cu 0.5000 0.5000 0.7622 [1 per cell]

Values from the calculation:
The calculation puts the calculated volume at 23.03 A^3/atom. As for the formation energy: 0.0 eV per formula unit. For the density, the calculation gives 3.49 g cm⁻³.

(3)
Here is SiTeSe2Br after structural relaxation from the Alexandria database. Energies are from PBEsol.

a = 5.2936 Å, b = 5.2936 Å, c = 5.3305 Å
α = 90.00°, β = 90.00°, γ = 90.00°
Space group P4/mmm (No. 123)
Symmetry-distinct sites (fractional):
1 Si 0.0000 0.0000 0.0000 [1 per cell]
2 Te 0.5000 0.5000 0.5000 [1 per cell]
3 Se 0.0000 0.5000 0.5000 [2 per cell]
4 Br 0.5000 0.5000 0.0000 [1 per cell]

Values from the calculation:
For the uncorrected formation energy, the calculation gives 68 kJ per mole of atoms. The calculation puts the calculated volume at 29.87 A^3/atom. For the density, the calculation gives 4.37 g cm⁻³.

no.,total energy (eV/atom)
1,-8.200
2,-4.910
3,-3.059